BaAlCo2F8, relaxed, DFT PBE+U; final energy = -64.24 eV/cell; V = 14.8 A^3/atom; total magnetic moment = 5.00 μB/cell
1.0
4.689 0.000 0.000
-0.265 5.049 0.000
-0.110 -1.048 7.513
Ba Al Co F
1 1 2 8
direct
0.000 0.000 0.000
0.000 0.000 0.500
0.490 0.525 0.667
0.510 0.475 0.333
0.164 0.189 0.339
0.171 0.217 0.690
0.295 0.767 0.490
0.437 0.724 0.910
0.563 0.276 0.090
0.705 0.233 0.510
0.829 0.783 0.310
0.836 0.811 0.661